# CaLaTaRe2, relaxed, DFT PBE
# - Density: 9.6 g cm⁻³
# - N(E_F): 1.26 states/eV per atom
# - Calculated formation energy: 1200 meV per atom
data_CaLaTaRe2
_chemical_formula_sum 'Ca1 La1 Ta1 Re2'
_symmetry_space_group_name_H-M 'P 4/m m m'
_symmetry_Int_Tables_number 123
_symmetry_space_group_name_Hall '-P 4 2'
_cell_length_a 4.906
_cell_length_b 4.906
_cell_length_c 5.287
_cell_angle_alpha 90.00
_cell_angle_beta 90.00
_cell_angle_gamma 90.00
loop_
_atom_site_label
_atom_site_fract_x
_atom_site_fract_y
_atom_site_fract_z
_atom_site_occupancy
Ca1 0.000 0.000 0.000 1
La1 0.500 0.500 0.000 1
Ta1 0.000 0.000 0.500 1
Re1 0.000 0.500 0.500 1